The following is a PBE calculation of crystalline Dy2HoCuSn3Ir2 at its relaxed geometry, from the Open Quantum Materials Database.

Cell: 3.8725 13.0430 7.5390 Å, 90.00 90.00 90.00°
Last column: nearest neighbours and their distance in Å.
Space group Amm2 (No. 38)
Unique sites:
Dy 0.0000 0.2031 0.0000 (multiplicity 4)  4 Ir 3.00, 1 Cu 3.06, 6 Sn 3.17-3.31
Ho 0.0000 0.0000 0.3909 (multiplicity 2)  4 Ir 2.99, 1 Cu 3.06, 6 Sn 3.17-3.31
Cu 0.0000 0.0000 0.7967 (multiplicity 2)  6 Sn 2.75-2.76, 1 Ho 3.06, 2 Dy 3.06
Sn 0.5000 0.0000 0.0574 (multiplicity 2)  2 Cu 2.76, 2 Ir 2.82
Sn 0.5000 0.1299 0.6667 (multiplicity 4)  2 Cu 2.75, 2 Ir 2.83
Ir 0.5000 0.1662 0.2972 (multiplicity 4)  3 Sn 2.82-2.83, 2 Ho 2.99, 4 Dy 3.00

Output
- E (eV/atom) = -5.98